[1]
# BaAcCdIr, relaxed, DFT PBE
data_BaAcCdIr
_space_group_name_H-M_alt 'P 1'
_space_group_IT_number 1
_space_group_name_Hall 'P 1'
_cell_length_a 5.525
_cell_length_b 5.525
_cell_length_c 5.525
_cell_angle_alpha 60.00
_cell_angle_beta 60.00
_cell_angle_gamma 60.00
loop_
_atom_site_label
_atom_site_fract_x
_atom_site_fract_y
_atom_site_fract_z
_atom_site_occupancy
Ba1 0.000 0.000 0.000 1
Ac1 0.500 0.500 0.500 1
Cd1 0.250 0.250 0.250 1
Ir1 0.750 0.750 0.750 1
# Formation energy = -0.1377 eV/atom

=====

[2]
# BaAcLaCd, relaxed, DFT PBE
data_BaAcLaCd
_space_group_name_H-M_alt 'P 1'
_space_group_IT_number 1
_space_group_name_Hall 'P 1'
_cell_length_a 6.055
_cell_length_b 6.055
_cell_length_c 6.055
_cell_angle_alpha 60.00
_cell_angle_beta 60.00
_cell_angle_gamma 60.00
loop_
_atom_site_label
_atom_site_fract_x
_atom_site_fract_y
_atom_site_fract_z
_atom_site_occupancy
Ba1 0.000 0.000 0.000 1
Ac1 0.750 0.750 0.750 1
La1 0.500 0.500 0.500 1
Cd1 0.250 0.250 0.250 1
# Formation energy = 0.0931 eV/atom